1.
First-principles (GGA-PBEsol) data for a relaxed structure of NaTiRh3, as listed in the Alexandria database.

Computed properties:
* E: -26.99 eV per cell
* SG: Pm-3m (221)

The structure in CIF format:
```
data_NaTiRh3
_chemical_formula_sum 'Na1 Ti1 Rh3'
_symmetry_space_group_name_H-M 'P 1'
_symmetry_Int_Tables_number 1
_cell_length_a 4.337
_cell_length_b 4.337
_cell_length_c 4.337
_cell_angle_alpha 90.00
_cell_angle_beta 90.00
_cell_angle_gamma 90.00
loop_
_symmetry_equiv_pos_as_xyz
'x,y,z'
loop_
_atom_site_label
_atom_site_fract_x
_atom_site_fract_y
_atom_site_fract_z
Na1 0.000 0.000 0.000
Rh1 0.000 0.500 0.000
Rh2 0.000 0.000 0.500
Rh3 0.500 0.000 0.000
Ti1 0.500 0.500 0.500
```

2.
First-principles (GGA-PBEsol) data for a relaxed structure of KTiSb2, as listed in the Alexandria database.

Computed properties:
* raw formation energy: -7.0 kJ per mole of atoms
* SG: I4_1/amd (141)

The structure in CIF format:
```
data_KTiSb2
_chemical_formula_sum 'K2 Ti2 Sb4'
_symmetry_space_group_name_H-M 'P 1'
_symmetry_Int_Tables_number 1
_cell_length_a 6.343
_cell_length_b 6.343
_cell_length_c 9.342
_cell_angle_alpha 109.85
_cell_angle_beta 109.85
_cell_angle_gamma 90.00
loop_
_symmetry_equiv_pos_as_xyz
'x,y,z'
loop_
_atom_site_label
_atom_site_fract_x
_atom_site_fract_y
_atom_site_fract_z
Sb1 0.125 0.875 0.250
Sb2 0.125 0.375 0.250
Sb3 0.125 0.875 0.750
Sb4 0.625 0.875 0.750
K1 0.750 0.250 0.500
K2 0.500 0.500 0.000
Ti1 0.250 0.750 0.500
Ti2 0.000 0.000 0.000
```

3.
First-principles (GGA-PBEsol) data for a relaxed structure of CaHgAsBr2, as listed in the Alexandria database.

Computed properties:
* raw formation energy: -34.5 kJ per mole of atoms
* SG: P4/mmm (123)

The structure in CIF format:
```
data_CaHgAsBr2
_chemical_formula_sum 'Ca1 Hg1 As1 Br2'
_symmetry_space_group_name_H-M 'P 1'
_symmetry_Int_Tables_number 1
_cell_length_a 5.421
_cell_length_b 5.421
_cell_length_c 5.978
_cell_angle_alpha 90.00
_cell_angle_beta 90.00
_cell_angle_gamma 90.00
loop_
_symmetry_equiv_pos_as_xyz
'x,y,z'
loop_
_atom_site_label
_atom_site_fract_x
_atom_site_fract_y
_atom_site_fract_z
As1 0.000 0.000 0.500
Ca1 0.000 0.000 0.000
Hg1 0.500 0.500 0.500
Br1 0.000 0.500 0.000
Br2 0.500 0.000 0.000
```

4.
First-principles (GGA-PBEsol) data for a relaxed structure of RbGa3Tc, as listed in the Alexandria database.

Computed properties:
* E: -22.84 eV per cell
* SG: Pm-3m (221)

The structure in CIF format:
```
data_RbGa3Tc
_chemical_formula_sum 'Rb1 Ga3 Tc1'
_symmetry_space_group_name_H-M 'P 1'
_symmetry_Int_Tables_number 1
_cell_length_a 4.873
_cell_length_b 4.873
_cell_length_c 4.873
_cell_angle_alpha 90.00
_cell_angle_beta 90.00
_cell_angle_gamma 90.00
loop_
_symmetry_equiv_pos_as_xyz
'x,y,z'
loop_
_atom_site_label
_atom_site_fract_x
_atom_site_fract_y
_atom_site_fract_z
Ga1 0.000 0.500 0.000
Ga2 0.000 0.000 0.500
Ga3 0.500 0.000 0.000
Tc1 0.000 0.000 0.000
Rb1 0.500 0.500 0.500
```

5.
First-principles (GGA-PBEsol) data for a relaxed structure of KTa5Pb2O15, as listed in the Alexandria database.

Computed properties:
* raw formation energy: -248.0 kJ per mole of atoms
* SG: Pmc2_1 (26)

The structure in CIF format:
```
data_KTa5Pb2O15
_chemical_formula_sum 'K2 Ta10 Pb4 O30'
_symmetry_space_group_name_H-M 'P 1'
_symmetry_Int_Tables_number 1
_cell_length_a 3.929
_cell_length_b 12.668
_cell_length_c 12.669
_cell_angle_alpha 90.00
_cell_angle_beta 90.00
_cell_angle_gamma 90.00
loop_
_symmetry_equiv_pos_as_xyz
'x,y,z'
loop_
_atom_site_label
_atom_site_fract_x
_atom_site_fract_y
_atom_site_fract_z
K1 0.500 0.918 0.670
K2 0.500 0.082 0.170
Ta1 0.000 0.458 0.586
Ta2 0.000 0.034 0.426
Ta3 0.000 0.542 0.086
Ta4 0.000 0.966 0.926
Ta5 0.000 0.319 0.288
Ta6 0.000 0.171 0.716
Ta7 0.000 0.829 0.216
Ta8 0.000 0.681 0.788
Ta9 0.000 0.747 0.497
Ta10 0.000 0.253 0.997
Pb1 0.500 0.238 0.506
Pb2 0.500 0.762 0.006
Pb3 0.500 0.470 0.879
Pb4 0.500 0.530 0.379
O1 0.000 0.590 0.496
O2 0.000 0.903 0.500
O3 0.000 0.410 0.996
O4 0.000 0.097 0.000
O5 0.000 0.251 0.153
O6 0.000 0.252 0.841
O7 0.000 0.748 0.341
O8 0.000 0.749 0.653
O9 0.500 0.457 0.564
O10 0.500 0.049 0.420
O11 0.500 0.543 0.064
O12 0.500 0.951 0.920
O13 0.500 0.334 0.295
O14 0.500 0.171 0.695
O15 0.500 0.829 0.195
O16 0.500 0.666 0.795
O17 0.000 0.532 0.716
O18 0.000 0.965 0.284
O19 0.000 0.468 0.216
O20 0.000 0.035 0.784
O21 0.500 0.743 0.496
O22 0.500 0.257 0.996
O23 0.000 0.314 0.632
O24 0.000 0.185 0.359
O25 0.000 0.686 0.132
O26 0.000 0.815 0.859
O27 0.000 0.399 0.427
O28 0.000 0.112 0.562
O29 0.000 0.888 0.062
O30 0.000 0.601 0.927
```

6.
First-principles (GGA-PBEsol) data for a relaxed structure of Ca2YBr, as listed in the Alexandria database.

Computed properties:
* raw formation energy: -43.7 kJ per mole of atoms
* E above lowest polymorph: 0.174 eV/atom
* SG: Imm2 (44)

The structure in CIF format:
```
data_Ca2YBr
_chemical_formula_sum 'Ca2 Y1 Br1'
_symmetry_space_group_name_H-M 'P 1'
_symmetry_Int_Tables_number 1
_cell_length_a 3.576
_cell_length_b 6.122
_cell_length_c 6.845
_cell_angle_alpha 116.56
_cell_angle_beta 105.14
_cell_angle_gamma 90.00
loop_
_symmetry_equiv_pos_as_xyz
'x,y,z'
loop_
_atom_site_label
_atom_site_fract_x
_atom_site_fract_y
_atom_site_fract_z
Y1 0.540 0.540 0.080
Ca1 0.958 0.958 0.915
Ca2 0.759 0.259 0.517
Br1 0.244 0.744 0.487
```

7.
First-principles (GGA-PBEsol) data for a relaxed structure of Ga3SeI, as listed in the Alexandria database.

Computed properties:
* raw formation energy: 18.7 kJ per mole of atoms
* SG: Pm-3m (221)

The structure in CIF format:
```
data_Ga3SeI
_chemical_formula_sum 'Ga3 Se1 I1'
_symmetry_space_group_name_H-M 'P 1'
_symmetry_Int_Tables_number 1
_cell_length_a 5.354
_cell_length_b 5.354
_cell_length_c 5.354
_cell_angle_alpha 90.00
_cell_angle_beta 90.00
_cell_angle_gamma 90.00
loop_
_symmetry_equiv_pos_as_xyz
'x,y,z'
loop_
_atom_site_label
_atom_site_fract_x
_atom_site_fract_y
_atom_site_fract_z
I1 0.500 0.500 0.500
Ga1 0.000 0.500 0.000
Ga2 0.000 0.000 0.500
Ga3 0.500 0.000 0.000
Se1 0.000 0.000 0.000
```

8.
First-principles (GGA-PBEsol) data for a relaxed structure of Li3FeP2O8, as listed in the Alexandria database.

Computed properties:
* raw formation energy: -206.1 kJ per mole of atoms
* E above lowest polymorph: 0.000 eV/atom
* SG: P2_1 (4)

The structure in CIF format:
```
data_Li3FeP2O8
_chemical_formula_sum 'Li12 Fe4 P8 O32'
_symmetry_space_group_name_H-M 'P 1'
_symmetry_Int_Tables_number 1
_cell_length_a 8.093
_cell_length_b 8.191
_cell_length_c 10.245
_cell_angle_alpha 90.00
_cell_angle_beta 90.00
_cell_angle_gamma 105.40
loop_
_symmetry_equiv_pos_as_xyz
'x,y,z'
loop_
_atom_site_label
_atom_site_fract_x
_atom_site_fract_y
_atom_site_fract_z
Li1 0.394 0.653 0.664
Li2 0.597 0.835 0.333
Li3 0.646 0.906 0.842
Li4 0.454 0.966 0.579
Li5 0.546 0.034 0.079
Li6 0.353 0.584 0.153
Li7 0.826 0.589 0.353
Li8 0.174 0.411 0.853
Li9 0.647 0.416 0.653
Li10 0.606 0.347 0.164
Li11 0.403 0.165 0.833
Li12 0.354 0.094 0.342
Fe1 0.088 0.838 0.162
Fe2 0.912 0.162 0.662
Fe3 0.096 0.339 0.339
Fe4 0.904 0.661 0.839
P1 0.234 0.204 0.091
P2 0.769 0.291 0.903
P3 0.719 0.213 0.413
P4 0.281 0.787 0.913
P5 0.231 0.709 0.403
P6 0.701 0.714 0.090
P7 0.766 0.796 0.591
P8 0.299 0.286 0.590
O1 0.682 0.363 0.345
O2 0.273 0.760 0.543
O3 0.612 0.839 0.658
O4 0.756 0.752 0.943
O5 0.240 0.743 0.063
O6 0.374 0.666 0.326
O7 0.740 0.745 0.449
O8 0.318 0.637 0.845
O9 0.066 0.552 0.390
O10 0.865 0.692 0.165
O11 0.811 0.647 0.670
O12 0.565 0.547 0.102
O13 0.435 0.453 0.602
O14 0.925 0.953 0.608
O15 0.135 0.308 0.665
O16 0.934 0.448 0.890
O17 0.189 0.353 0.170
O18 0.260 0.255 0.949
O19 0.244 0.248 0.443
O20 0.626 0.334 0.826
O21 0.388 0.161 0.158
O22 0.760 0.257 0.563
O23 0.727 0.240 0.043
O24 0.356 0.137 0.644
O25 0.075 0.047 0.108
O26 0.887 0.177 0.357
O27 0.821 0.139 0.831
O28 0.569 0.052 0.405
O29 0.431 0.948 0.905
O30 0.179 0.861 0.331
O31 0.113 0.823 0.857
O32 0.644 0.863 0.144
```

9.
First-principles (GGA-PBEsol) data for a relaxed structure of Sr4TcIr, as listed in the Alexandria database.

Computed properties:
* E: -19.27 eV per cell
* SG: F-43m (216)

The structure in CIF format:
```
data_Sr4TcIr
_chemical_formula_sum 'Sr4 Tc1 Ir1'
_symmetry_space_group_name_H-M 'P 1'
_symmetry_Int_Tables_number 1
_cell_length_a 6.185
_cell_length_b 6.185
_cell_length_c 6.185
_cell_angle_alpha 60.00
_cell_angle_beta 60.00
_cell_angle_gamma 60.00
loop_
_symmetry_equiv_pos_as_xyz
'x,y,z'
loop_
_atom_site_label
_atom_site_fract_x
_atom_site_fract_y
_atom_site_fract_z
Ir1 0.000 0.000 0.000
Sr1 0.374 0.374 0.374
Sr2 0.374 0.374 0.877
Sr3 0.877 0.374 0.374
Sr4 0.374 0.877 0.374
Tc1 0.750 0.750 0.750
```

10.
First-principles (GGA-PBEsol) data for a relaxed structure of ZnGaCl3, as listed in the Alexandria database.

Computed properties:
* raw formation energy: -43.9 kJ per mole of atoms
* SG: Pm-3m (221)

The structure in CIF format:
```
data_ZnGaCl3
_chemical_formula_sum 'Zn1 Ga1 Cl3'
_symmetry_space_group_name_H-M 'P 1'
_symmetry_Int_Tables_number 1
_cell_length_a 4.810
_cell_length_b 4.810
_cell_length_c 4.810
_cell_angle_alpha 90.00
_cell_angle_beta 90.00
_cell_angle_gamma 90.00
loop_
_symmetry_equiv_pos_as_xyz
'x,y,z'
loop_
_atom_site_label
_atom_site_fract_x
_atom_site_fract_y
_atom_site_fract_z
Zn1 0.500 0.500 0.500
Ga1 0.000 0.000 0.000
Cl1 0.000 0.500 0.000
Cl2 0.000 0.000 0.500
Cl3 0.500 0.000 0.000
```

Which formula does entry 8 have?
Li3FeP2O8